[1]
{"formula": "Ac6PdRh2Au3", "functional": "PBE", "state": "relaxed", "cell": [[4.387, 0.000, 0.000], [0.000, 9.037, 0.173], [-2.193, -2.759, 9.386]], "species": ["Ac", "Ac", "Ac", "Ac", "Ac", "Ac", "Au", "Au", "Au", "Rh", "Rh", "Pd"], "fractional_positions": [[0.672, 0.567, 0.345], [0.328, 0.433, 0.655], [0.992, 0.755, 0.983], [0.335, 0.900, 0.669], [0.665, 0.100, 0.331], [0.008, 0.245, 0.017], [0.164, 0.831, 0.327], [0.500, 0.500, 0.000], [0.836, 0.169, 0.673], [0.834, 0.670, 0.668], [0.166, 0.330, 0.332], [0.500, 0.000, 0.000]], "delta_e_f_kcal_per_mol_atoms": -18.01, "m_tot_mub_per_cell": 0.0, "dos_at_fermi_per_ev_fu": 6.48, "crystal_system": "monoclinic"}


[2]
{"formula": "CoRe2Au", "functional": "PBE", "state": "relaxed", "cell": [[2.696, -0.084, 0.000], [-1.009, 2.502, 0.000], [0.000, 0.000, 9.068]], "species": ["Re", "Re", "Co", "Au"], "fractional_positions": [[0.500, 0.500, 0.233], [0.000, 0.000, 0.990], [0.500, 0.500, 0.765], [0.000, 0.000, 0.513]], "delta_e_f_kcal_per_mol_atoms": 8.95, "m_tot_mub_per_cell": 1.6, "dos_at_fermi_per_ev_fu": 5.10, "relative_energy_kj_per_mol_atoms": 14.6, "crystal_system": "orthorhombic"}


[3]
{"formula": "TbMgCdSn", "functional": "PBE", "state": "relaxed", "cell": [[-2.207, 2.517, -3.953], [-4.771, 1.953, 0.513], [-0.686, 5.128, 0.255]], "species": ["Mg", "Sn", "Tb", "Cd"], "fractional_positions": [[0.000, 0.000, 0.000], [0.750, 0.750, 0.750], [0.500, 0.500, 0.500], [0.250, 0.250, 0.250]], "delta_e_f_kcal_per_mol_atoms": -7.05, "m_tot_mub_per_cell": 0.0, "dos_at_fermi_per_ev_fu": 2.94, "relative_energy_kj_per_mol_atoms": 13.8, "crystal_system": "cubic"}


[4]
{"formula": "Ta2InSi", "functional": "PBE", "state": "relaxed", "cell": [[-1.291, -2.648, -4.370], [-2.686, -3.982, -2.169], [-4.206, 2.217, -1.320]], "species": ["Ta", "Ta", "In", "Si"], "fractional_positions": [[0.751, 0.751, 0.721], [0.987, 0.987, 0.039], [0.506, 0.506, 0.526], [0.257, 0.257, 0.214]], "m_tot_mub_per_cell": 0.0, "dos_at_fermi_per_ev_fu": 2.14, "formation_energy_uncorrected_ev_per_atom": 0.1499, "crystal_system": "monoclinic"}


no.,E_tot (eV per cell)
1,-63.75
2,-33.73
3,-12.37
4,-31.27